No. 1
The following is a PBE-GGA calculation of crystalline La3YTh at its relaxed geometry, from the Alexandria database.

The calculation puts the volume at 36.27 A^3/atom. For the mass density, the calculation gives 6.75 g/cm3. The offset from the most stable computed form comes out at 157 meV per atom. For the total magnetic moment, the calculation gives 0.00 μB/f.u. The density of states at the Fermi level comes out at 11.26 states/eV/f.u. The formation energy comes out at 1.501 eV/f.u. For the calculated total energy, the calculation gives -5.433 eV/atom.

abc: 7.1317 7.1317 7.1317
angles: 89.80 89.80 89.80
Fractional coordinates of all 10 atoms:
La (0.0778, 0.7500, 0.4222)
La (0.2500, 0.5778, 0.9222)
La (0.4222, 0.0778, 0.7500)
La (0.5778, 0.9222, 0.2500)
La (0.7500, 0.4222, 0.0778)
La (0.9222, 0.2500, 0.5778)
Y (0.2500, 0.2500, 0.2500)
Y (0.7500, 0.7500, 0.7500)
Th (0.0000, 0.0000, 0.0000)
Th (0.5000, 0.5000, 0.5000)


No. 2
The following is a PBE-GGA calculation of crystalline LiAg5Br8 at its relaxed geometry, from the Alexandria database.

The calculation puts the formation energy without anion corrections at -0.434 eV per atom. The calculation puts the volume at 27.87 A^3/atom. For the mass density, the calculation gives 5.05 g/cm3. The offset from the most stable computed form comes out at 3 meV per atom. For the total magnetic moment, the calculation gives 0.00 μB/f.u. The density of states at the Fermi level comes out at 20.46 states/eV/f.u. For the calculated total energy, the calculation gives -2.545 eV/atom.

abc: 8.2020 8.2020 8.2020
angles: 60.00 60.00 60.00
Fractional coordinates of all 14 atoms:
Li (0.0000, 0.0000, 0.0000)
Ag (0.3740, 0.3740, 0.3740)
Ag (0.3740, 0.3740, 0.8781)
Ag (0.3740, 0.8781, 0.3740)
Ag (0.7500, 0.7500, 0.7500)
Ag (0.8781, 0.3740, 0.3740)
Br (0.1295, 0.1295, 0.1295)
Br (0.1295, 0.1295, 0.6114)
Br (0.1295, 0.6114, 0.1295)
Br (0.1476, 0.6175, 0.6175)
Br (0.6114, 0.1295, 0.1295)
Br (0.6175, 0.1476, 0.6175)
Br (0.6175, 0.6175, 0.1476)
Br (0.6175, 0.6175, 0.6175)


No. 3
The following is a PBE-GGA calculation of crystalline Sr8Tl2Pd at its relaxed geometry, from the Alexandria database.

The calculation puts the volume at 46.46 A^3/atom. For the mass density, the calculation gives 3.95 g/cm3. For the total magnetic moment, the calculation gives 0.00 μB/f.u. The density of states at the Fermi level comes out at 10.92 states/eV/f.u. The formation energy comes out at -2.668 eV/f.u. For the calculated total energy, the calculation gives -2.368 eV/atom.

abc: 8.8435 8.8435 7.2756
angles: 105.94 105.94 72.87
Fractional coordinates of all 11 atoms:
Sr (0.0845, 0.0845, 0.2933)
Sr (0.1583, 0.5528, 0.2517)
Sr (0.3697, 0.3697, 0.7548)
Sr (0.4472, 0.8417, 0.7483)
Sr (0.5528, 0.1583, 0.2517)
Sr (0.6303, 0.6303, 0.2452)
Sr (0.8417, 0.4472, 0.7483)
Sr (0.9155, 0.9155, 0.7067)
Tl (0.1718, 0.1718, 0.9114)
Tl (0.8282, 0.8282, 0.0886)
Pd (0.5000, 0.5000, 0.5000)